Computed, not measured: a geometry-optimized HfFe4Ir structure at the PBE level of DFT.

abc: 4.833 4.833 4.833
angles: 60.00 60.00 60.00
Positions (direct):
1 Hf 0.000 0.000 0.000
2 Fe 0.375 0.375 0.375
3 Fe 0.375 0.375 0.875
4 Fe 0.375 0.875 0.375
5 Fe 0.875 0.375 0.375
6 Ir 0.750 0.750 0.750

Values from the calculation:
- N(E_F): 8.6 states/eV/f.u.
- E_form: -0.256 eV/atom